A geometry-optimized Ho2Er3Ag2 structure. Source: the Alexandria database, functional PBE.

Unit cell a=5.304 b=5.304 c=8.223 alpha=108.78 beta=90.00 gamma=120.00
Positions (direct):
Ho 0.924 0.849 0.273
Ho 0.076 0.151 0.727
Er 0.500 0.000 0.000
Er 0.660 0.321 0.481
Er 0.340 0.679 0.519
Ag 0.787 0.575 0.862
Ag 0.213 0.425 0.138

Results
Energy above the most stable polymorph in this dataset, meV/atom: 62
M_tot, μB per cell: 0.00
Volume, Å³/atom: 26.57
Symmetry: R-3m, No. 166

---

A geometry-optimized CaHoTm2As4 structure. Source: the Alexandria database, functional PBE.

Unit cell a=4.095 b=7.143 c=7.133 alpha=70.77 beta=90.00 gamma=90.00
Positions (direct):
Ca 0.500 0.500 0.000
Ho 0.000 0.500 0.500
Tm 0.000 0.000 0.000
Tm 0.500 0.000 0.500
As 0.000 0.760 0.742
As 0.000 0.240 0.258
As 0.500 0.755 0.252
As 0.500 0.245 0.748

Results
M_tot, μB per cell: 0.00
E_tot, eV/atom: -5.621
Volume, Å³/atom: 24.62
Symmetry: P2/m, No. 10

---

A geometry-optimized PrPuH3 structure. Source: the Alexandria database, functional PBE.

Unit cell a=4.220 b=4.220 c=4.220 alpha=90.00 beta=90.00 gamma=90.00
Positions (direct):
Pr 0.500 0.500 0.500
H 0.000 0.500 0.000
H 0.000 0.000 0.500
H 0.500 0.000 0.000
Pu 0.000 0.000 0.000

Results
M_tot, μB per cell: 6.28
E_tot, eV/atom: -5.963
Volume, Å³/atom: 15.04
Symmetry: Pm-3m, No. 221

---

A geometry-optimized TlCu2As2 structure. Source: the Alexandria database, functional PBE.

Unit cell a=8.028 b=8.028 c=2.872 alpha=90.00 beta=90.00 gamma=90.00
Positions (direct):
Tl 0.000 0.000 0.000
Tl 0.500 0.500 0.000
Cu 0.640 0.140 0.500
Cu 0.860 0.640 0.500
Cu 0.360 0.860 0.500
Cu 0.140 0.360 0.500
As 0.856 0.356 0.000
As 0.644 0.856 0.000
As 0.144 0.644 0.000
As 0.356 0.144 0.000

Results
Energy above the most stable polymorph in this dataset, meV/atom: 219
M_tot, μB per cell: 0.00
Volume, Å³/atom: 18.50
Symmetry: P4/mbm, No. 127

---

A geometry-optimized PmDy4Mg4 structure. Source: the Alexandria database, functional PBE.

Unit cell a=6.953 b=6.953 c=11.463 alpha=90.00 beta=90.00 gamma=90.00
Positions (direct):
Pm 0.000 0.000 0.000
Pm 0.500 0.500 0.500
Dy 0.224 0.500 0.930
Dy 0.776 0.500 0.930
Dy 0.500 0.776 0.070
Dy 0.500 0.224 0.070
Dy 0.000 0.724 0.430
Dy 0.000 0.276 0.430
Dy 0.276 0.000 0.570
Dy 0.724 0.000 0.570
Mg 0.500 0.776 0.780
Mg 0.500 0.224 0.780
Mg 0.776 0.500 0.220
Mg 0.224 0.500 0.220
Mg 0.276 0.000 0.280
Mg 0.724 0.000 0.280
Mg 0.000 0.276 0.720
Mg 0.000 0.724 0.720

Results
M_tot, μB per cell: 0.00
E_tot, eV/atom: -3.048
Volume, Å³/atom: 30.79
Symmetry: P4_2/nmc, No. 137

---

A geometry-optimized RbMg6BiO8 structure. Source: the Alexandria database, functional PBE.

Unit cell a=4.680 b=4.680 c=9.303 alpha=90.00 beta=90.00 gamma=90.00
Positions (direct):
Rb 0.000 0.000 0.000
Mg 0.500 0.500 0.000
Mg 0.500 0.500 0.500
Mg 0.000 0.500 0.228
Mg 0.000 0.500 0.772
Mg 0.500 0.000 0.228
Mg 0.500 0.000 0.772
Bi 0.000 0.000 0.500
O 0.000 0.000 0.261
O 0.000 0.000 0.739
O 0.500 0.500 0.248
O 0.500 0.500 0.752
O 0.000 0.500 0.000
O 0.000 0.500 0.500
O 0.500 0.000 0.000
O 0.500 0.000 0.500

Results
Energy above the most stable polymorph in this dataset, meV/atom: 119
M_tot, μB per cell: 0.00
Formation energy from raw total energies, eV/atom: -1.83
Volume, Å³/atom: 12.73
Symmetry: P4/mmm, No. 123

---

A geometry-optimized CuPt2W structure. Source: the Alexandria database, functional PBE.

Unit cell a=4.413 b=4.413 c=4.413 alpha=60.00 beta=60.00 gamma=60.00
Positions (direct):
Cu 0.000 0.000 0.000
W 0.500 0.500 0.500
Pt 0.250 0.250 0.250
Pt 0.750 0.750 0.750

Results
Energy above the most stable polymorph in this dataset, meV/atom: 274
M_tot, μB per cell: 0.00
Volume, Å³/atom: 15.19
Symmetry: Fm-3m, No. 225